[1]
# PBE La2Pr5Er12, relaxed
data_La2Pr5Er12
_chemical_formula_sum 'La4 Pr10 Er24'
_cell_length_a 17.874
_cell_length_b 8.649
_cell_length_c 8.947
_cell_angle_alpha 90.00
_cell_angle_beta 110.91
_cell_angle_gamma 90.00
_space_group_name_H-M_alt 'C 1 2/m 1'
_space_group_IT_number 12
_space_group_name_Hall '-C 2y'
loop_
_atom_site_label
_atom_site_type_symbol
_atom_site_fract_x
_atom_site_fract_y
_atom_site_fract_z
La1 La 0.000 0.174 0.000
Pr1 Pr 0.000 0.500 0.500
Pr2 Pr 0.210 0.000 0.196
Pr3 Pr 0.248 0.000 0.791
Er1 Er 0.036 0.000 0.682
Er2 Er 0.056 0.500 0.179
Er3 Er 0.133 0.312 0.862
Er4 Er 0.143 0.225 0.463
# DOS(E_F): 56.2 states/eV per cell



[2]
# PBE La3Pr2Er7, relaxed
data_La3Pr2Er7
_chemical_formula_sum 'La3 Pr2 Er7'
_cell_length_a 6.386
_cell_length_b 3.563
_cell_length_c 17.704
_cell_angle_alpha 90.00
_cell_angle_beta 96.52
_cell_angle_gamma 90.00
_space_group_name_H-M_alt 'P 1 2/m 1'
_space_group_IT_number 10
_space_group_name_Hall '-P 2y'
loop_
_atom_site_label
_atom_site_type_symbol
_atom_site_fract_x
_atom_site_fract_y
_atom_site_fract_z
La1 La 0.000 0.000 0.000
La2 La 0.043 0.500 0.660
Pr1 Pr 0.450 0.000 0.325
Er1 Er 0.228 0.500 0.163
Er2 Er 0.246 0.000 0.498
Er3 Er 0.276 0.000 0.836
Er4 Er 0.500 0.500 0.000
# DOS(E_F): 17.9 states/eV per cell



[3]
# PBE La5Pr3Er, relaxed
data_La5Pr3Er
_chemical_formula_sum 'La20 Pr12 Er4'
_cell_length_a 9.149
_cell_length_b 9.149
_cell_length_c 15.638
_cell_angle_alpha 90.00
_cell_angle_beta 90.00
_cell_angle_gamma 90.00
_space_group_name_H-M_alt 'I 4/m c m'
_space_group_IT_number 140
_space_group_name_Hall '-I 4 2c'
loop_
_atom_site_label
_atom_site_type_symbol
_atom_site_fract_x
_atom_site_fract_y
_atom_site_fract_z
La1 La 0.000 0.000 0.000
La2 La 0.210 0.290 0.140
Pr1 Pr 0.000 0.000 0.250
Pr2 Pr 0.116 0.384 0.500
Er1 Er 0.000 0.500 0.250
# DOS(E_F): 64.4 states/eV per cell



[4]
# PBE LaPr3Er2, relaxed
data_LaPr3Er2
_chemical_formula_sum 'La2 Pr6 Er4'
_cell_length_a 3.514
_cell_length_b 6.023
_cell_length_c 19.880
_cell_angle_alpha 90.00
_cell_angle_beta 90.00
_cell_angle_gamma 90.00
_space_group_name_H-M_alt 'I m m m'
_space_group_IT_number 71
_space_group_name_Hall '-I 2 2'
loop_
_atom_site_label
_atom_site_type_symbol
_atom_site_fract_x
_atom_site_fract_y
_atom_site_fract_z
La1 La 0.000 0.000 0.000
Pr1 Pr 0.000 0.000 0.191
Pr2 Pr 0.000 0.500 0.000
Er1 Er 0.000 0.000 0.362
# DOS(E_F): 20.9 states/eV per cell



[5]
# PBE LaPr2Er3, relaxed
data_LaPr2Er3
_chemical_formula_sum 'La4 Pr8 Er12'
_cell_length_a 20.465
_cell_length_b 3.649
_cell_length_c 12.640
_cell_angle_alpha 90.00
_cell_angle_beta 121.39
_cell_angle_gamma 90.00
_space_group_name_H-M_alt 'C 1 2/m 1'
_space_group_IT_number 12
_space_group_name_Hall '-C 2y'
loop_
_atom_site_label
_atom_site_type_symbol
_atom_site_fract_x
_atom_site_fract_y
_atom_site_fract_z
La1 La 0.082 0.000 0.154
Pr1 Pr 0.244 0.000 0.618
Pr2 Pr 0.250 0.000 0.125
Er1 Er 0.079 0.500 0.403
Er2 Er 0.082 0.000 0.650
Er3 Er 0.084 0.500 0.897
# DOS(E_F): 32.3 states/eV per cell



[6]
# PBE La3Pr3Er4, relaxed
data_La3Pr3Er4
_chemical_formula_sum 'La6 Pr6 Er8'
_cell_length_a 3.661
_cell_length_b 13.867
_cell_length_c 13.871
_cell_angle_alpha 90.00
_cell_angle_beta 90.00
_cell_angle_gamma 90.00
_space_group_name_H-M_alt 'A m m 2'
_space_group_IT_number 38
_space_group_name_Hall 'A 2 -2'
loop_
_atom_site_label
_atom_site_type_symbol
_atom_site_fract_x
_atom_site_fract_y
_atom_site_fract_z
La1 La 0.000 0.000 0.000
La2 La 0.500 0.249 0.575
Pr1 Pr 0.000 0.000 0.650
Pr2 Pr 0.000 0.175 0.325
Er1 Er 0.500 0.000 0.205
Er2 Er 0.500 0.000 0.446
Er3 Er 0.500 0.121 0.824
# DOS(E_F): 21.5 states/eV per cell



[7]
# PBE LaPr10Er6, relaxed
data_LaPr10Er6
_chemical_formula_sum 'La1 Pr10 Er6'
_cell_length_a 9.9258
_cell_length_b 9.9258
_cell_length_c 6.9637
_cell_angle_alpha 90.00
_cell_angle_beta 90.00
_cell_angle_gamma 120.00
_space_group_name_H-M_alt 'P -3 1 m'
_space_group_IT_number 162
_space_group_name_Hall '-P 3 2'
loop_
_atom_site_label
_atom_site_type_symbol
_atom_site_fract_x
_atom_site_fract_y
_atom_site_fract_z
La1 La 0.0000 0.0000 0.0000
Pr1 Pr 0.0000 0.2801 0.3231
Pr2 Pr 0.3333 0.6667 0.0000
Pr3 Pr 0.3333 0.6667 0.5000
Er1 Er 0.0000 0.3670 0.8171
# DOS(E_F): 27.1 states/eV per cell



[8]
# PBE La7Pr2Er, relaxed
data_La7Pr2Er
_chemical_formula_sum 'La14 Pr4 Er2'
_cell_length_a 12.177
_cell_length_b 17.182
_cell_length_c 3.597
_cell_angle_alpha 90.00
_cell_angle_beta 90.00
_cell_angle_gamma 90.00
_space_group_name_H-M_alt 'C m m m'
_space_group_IT_number 65
_space_group_name_Hall '-C 2 2'
loop_
_atom_site_label
_atom_site_type_symbol
_atom_site_fract_x
_atom_site_fract_y
_atom_site_fract_z
La1 La 0.000 0.000 0.000
La2 La 0.000 0.180 0.500
La3 La 0.247 0.127 0.000
Pr1 Pr 0.000 0.332 0.000
Er1 Er 0.000 0.500 0.500
# DOS(E_F): 31.5 states/eV per cell



[9]
# PBE LaPr6Er3, relaxed
data_LaPr6Er3
_chemical_formula_sum 'La4 Pr24 Er12'
_cell_length_a 11.090
_cell_length_b 19.415
_cell_length_c 6.417
_cell_angle_alpha 90.00
_cell_angle_beta 90.00
_cell_angle_gamma 90.00
_space_group_name_H-M_alt 'C m c 21'
_space_group_IT_number 36
_space_group_name_Hall 'C 2c -2'
loop_
_atom_site_label
_atom_site_type_symbol
_atom_site_fract_x
_atom_site_fract_y
_atom_site_fract_z
La1 La 0.000 0.188 0.000
Pr1 Pr 0.000 0.035 0.773
Pr2 Pr 0.000 0.284 0.555
Pr3 Pr 0.168 0.460 0.457
Pr4 Pr 0.235 0.291 0.277
Er1 Er 0.000 0.383 0.001
Er2 Er 0.175 0.116 0.370
# DOS(E_F): 57.3 states/eV per cell



[10]
# PBE La2PrEr3, relaxed
data_La2PrEr3
_chemical_formula_sum 'La8 Pr4 Er12'
_cell_length_a 17.045
_cell_length_b 7.001
_cell_length_c 7.064
_cell_angle_alpha 90.00
_cell_angle_beta 101.93
_cell_angle_gamma 90.00
_space_group_name_H-M_alt 'C 1 2/c 1'
_space_group_IT_number 15
_space_group_name_Hall '-C 2yc'
loop_
_atom_site_label
_atom_site_type_symbol
_atom_site_fract_x
_atom_site_fract_y
_atom_site_fract_z
La1 La 0.177 0.012 0.091
Pr1 Pr 0.000 0.235 0.750
Er1 Er 0.000 0.235 0.250
Er2 Er 0.136 0.491 0.565
# DOS(E_F): 37.9 states/eV per cell



Energy list, top to bottom, in eV/atom: -4.4294; -4.5970; -4.5810; -4.4367; -4.6905; -4.6517; -4.5794; -4.5499; -4.5918; -4.5776
Volume list, top to bottom, in Å³ per atom: 34.0; 33.4; 36.4; 35.1; 33.6; 35.2; 35.0; 37.6; 34.5; 34.4
Total magnetization list, top to bottom, in μB/cell: 0.00; 0.00; 0.00; 0.00; 0.00; 0.97; 0.00; 0.00; 0.00; 0.00